DFT (PBE-GGA) results for an optimized crystal structure of BaIn2Te2Se.

abc: 7.3538 7.2580 9.0061
angles: 90.00 109.69 90.00
Fractional coordinates of all 12 atoms:
Ba: 0.2374 0.2500 0.1934
Ba: 0.7626 0.7500 0.8066
In: 0.1529 0.0284 0.6442
In: 0.1529 0.4716 0.6442
In: 0.8471 0.5284 0.3558
In: 0.8471 0.9716 0.3558
Te: 0.3074 0.7500 0.8731
Te: 0.4614 0.2500 0.6116
Te: 0.5386 0.7500 0.3884
Te: 0.6926 0.2500 0.1269
Se: 0.0010 0.2500 0.8184
Se: 0.9990 0.7500 0.1816

Total energy, eV/atom: -3.6305
Total moment, μB/cell: 0.000
Formation energy (no corrections), eV per formula unit: -4.615
Space-group type: P2_1/m (11)
Theoretical density, Mg/m³: 5.145